a:
First-principles (PBE) data for a relaxed KBaCu2 crystal, as listed in Alexandria.

```
data_KBaCu2
_chemical_formula_sum 'K1 Ba1 Cu2'
_cell_length_a 3.6028
_cell_length_b 3.6028
_cell_length_c 9.4901
_cell_angle_alpha 90.00
_cell_angle_beta 90.00
_cell_angle_gamma 90.00
_symmetry_space_group_name_H-M 'P 1'
_symmetry_Int_Tables_number 1
_symmetry_space_group_name_Hall 'P 1'
loop_
_atom_site_label
_atom_site_fract_x
_atom_site_fract_y
_atom_site_fract_z
K1 0.0000 0.0000 0.0000
Ba1 0.5000 0.5000 0.4327
Cu1 0.0000 0.0000 0.6726
Cu2 0.5000 0.5000 0.7381
```

Calculated values
Space-group type: P4mm

b:
First-principles (PBE) data for a relaxed KBaCu2 crystal, as listed in Alexandria.

```
data_KBaCu2
_chemical_formula_sum 'K2 Ba2 Cu4'
_cell_length_a 4.5287
_cell_length_b 4.7000
_cell_length_c 12.2191
_cell_angle_alpha 90.00
_cell_angle_beta 90.00
_cell_angle_gamma 90.00
_symmetry_space_group_name_H-M 'P 1'
_symmetry_Int_Tables_number 1
_symmetry_space_group_name_Hall 'P 1'
loop_
_atom_site_label
_atom_site_fract_x
_atom_site_fract_y
_atom_site_fract_z
K1 0.0000 0.0000 0.0000
K2 0.0000 0.5000 0.5000
Ba1 0.5000 0.0000 0.2821
Ba2 0.5000 0.5000 0.7821
Cu1 0.0000 0.0000 0.6913
Cu2 0.0000 0.5000 0.1913
Cu3 0.5000 0.0000 0.6037
Cu4 0.5000 0.5000 0.1037
```

Calculated values
Space-group type: Amm2

c:
First-principles (PBE) data for a relaxed KBaCu2 crystal, as listed in Alexandria.

```
data_KBaCu2
_chemical_formula_sum 'K4 Ba4 Cu8'
_cell_length_a 7.5937
_cell_length_b 7.5937
_cell_length_c 7.5937
_cell_angle_alpha 90.00
_cell_angle_beta 90.00
_cell_angle_gamma 90.00
_symmetry_space_group_name_H-M 'P 1'
_symmetry_Int_Tables_number 1
_symmetry_space_group_name_Hall 'P 1'
loop_
_atom_site_label
_atom_site_fract_x
_atom_site_fract_y
_atom_site_fract_z
K1 0.0000 0.0000 0.0000
K2 0.0000 0.5000 0.5000
K3 0.5000 0.0000 0.5000
K4 0.5000 0.5000 0.0000
Ba1 0.2500 0.2500 0.7500
Ba2 0.2500 0.7500 0.2500
Ba3 0.7500 0.2500 0.2500
Ba4 0.7500 0.7500 0.7500
Cu1 0.0000 0.0000 0.5000
Cu2 0.0000 0.5000 0.0000
Cu3 0.2500 0.2500 0.2500
Cu4 0.2500 0.7500 0.7500
Cu5 0.5000 0.0000 0.0000
Cu6 0.5000 0.5000 0.5000
Cu7 0.7500 0.2500 0.7500
Cu8 0.7500 0.7500 0.2500
```

Calculated values
Space-group type: F-43m

In kJ/mol of atoms, relative to the most stable structure: a 13.9; b 0.0; c 28.3.

a:
First-principles (PBE) data for a relaxed KBaCu3 crystal, as listed in Alexandria.

```
data_KBaCu3
_chemical_formula_sum 'K1 Ba1 Cu3'
_cell_length_a 5.5268
_cell_length_b 5.5268
_cell_length_c 5.5268
_cell_angle_alpha 90.00
_cell_angle_beta 90.00
_cell_angle_gamma 90.00
_symmetry_space_group_name_H-M 'P 1'
_symmetry_Int_Tables_number 1
_symmetry_space_group_name_Hall 'P 1'
loop_
_atom_site_label
_atom_site_fract_x
_atom_site_fract_y
_atom_site_fract_z
K1 0.0000 0.0000 0.0000
Ba1 0.5000 0.5000 0.5000
Cu1 0.0000 0.0000 0.5000
Cu2 0.0000 0.5000 0.0000
Cu3 0.5000 0.0000 0.0000
```

Calculated values
Space-group type: Pm-3m

b:
First-principles (PBE) data for a relaxed KBaCu3 crystal, as listed in Alexandria.

```
data_KBaCu3
_chemical_formula_sum 'K1 Ba1 Cu3'
_cell_length_a 6.0290
_cell_length_b 6.0290
_cell_length_c 6.0290
_cell_angle_alpha 90.00
_cell_angle_beta 90.00
_cell_angle_gamma 90.00
_symmetry_space_group_name_H-M 'P 1'
_symmetry_Int_Tables_number 1
_symmetry_space_group_name_Hall 'P 1'
loop_
_atom_site_label
_atom_site_fract_x
_atom_site_fract_y
_atom_site_fract_z
K1 0.0000 0.0000 0.0000
Ba1 0.5000 0.5000 0.5000
Cu1 0.0000 0.5000 0.5000
Cu2 0.5000 0.0000 0.5000
Cu3 0.5000 0.5000 0.0000
```

Calculated values
Space-group type: Pm-3m

In kJ/mol of atoms, relative to the most stable structure: a 3.3; b 0.0.

a:
First-principles (PBE) data for a relaxed KBa3Cu crystal, as listed in Alexandria.

```
data_KBa3Cu
_chemical_formula_sum 'K1 Ba3 Cu1'
_cell_length_a 6.5358
_cell_length_b 6.5358
_cell_length_c 6.5358
_cell_angle_alpha 90.00
_cell_angle_beta 90.00
_cell_angle_gamma 90.00
_symmetry_space_group_name_H-M 'P 1'
_symmetry_Int_Tables_number 1
_symmetry_space_group_name_Hall 'P 1'
loop_
_atom_site_label
_atom_site_fract_x
_atom_site_fract_y
_atom_site_fract_z
K1 0.0000 0.0000 0.0000
Ba1 0.0000 0.5000 0.5000
Ba2 0.5000 0.0000 0.5000
Ba3 0.5000 0.5000 0.0000
Cu1 0.5000 0.5000 0.5000
```

Calculated values
Space-group type: Pm-3m

b:
First-principles (PBE) data for a relaxed KBa3Cu crystal, as listed in Alexandria.

```
data_KBa3Cu
_chemical_formula_sum 'K1 Ba3 Cu1'
_cell_length_a 6.8910
_cell_length_b 6.8910
_cell_length_c 6.8910
_cell_angle_alpha 90.00
_cell_angle_beta 90.00
_cell_angle_gamma 90.00
_symmetry_space_group_name_H-M 'P 1'
_symmetry_Int_Tables_number 1
_symmetry_space_group_name_Hall 'P 1'
loop_
_atom_site_label
_atom_site_fract_x
_atom_site_fract_y
_atom_site_fract_z
K1 0.0000 0.0000 0.0000
Ba1 0.0000 0.0000 0.5000
Ba2 0.0000 0.5000 0.0000
Ba3 0.5000 0.0000 0.0000
Cu1 0.5000 0.5000 0.5000
```

Calculated values
Space-group type: Pm-3m

In kJ/mol of atoms, relative to the most stable structure: a 0.0; b 89.3.

a:
First-principles (PBE) data for a relaxed K2BaCu2 crystal, as listed in Alexandria.

```
data_K2BaCu2
_chemical_formula_sum 'K4 Ba2 Cu4'
_cell_length_a 4.8985
_cell_length_b 4.8985
_cell_length_c 14.9561
_cell_angle_alpha 90.00
_cell_angle_beta 90.00
_cell_angle_gamma 90.00
_symmetry_space_group_name_H-M 'P 1'
_symmetry_Int_Tables_number 1
_symmetry_space_group_name_Hall 'P 1'
loop_
_atom_site_label
_atom_site_fract_x
_atom_site_fract_y
_atom_site_fract_z
K1 0.0000 0.5000 0.2500
K2 0.0000 0.5000 0.7500
K3 0.5000 0.0000 0.2500
K4 0.5000 0.0000 0.7500
Ba1 0.0000 0.0000 0.0000
Ba2 0.5000 0.5000 0.5000
Cu1 0.0000 0.0000 0.4202
Cu2 0.0000 0.0000 0.5798
Cu3 0.5000 0.5000 0.0798
Cu4 0.5000 0.5000 0.9202
```

Calculated values
Space-group type: I4/mmm

b:
First-principles (PBE) data for a relaxed K2BaCu2 crystal, as listed in Alexandria.

```
data_K2BaCu2
_chemical_formula_sum 'K4 Ba2 Cu4'
_cell_length_a 8.2367
_cell_length_b 8.2367
_cell_length_c 5.4773
_cell_angle_alpha 90.00
_cell_angle_beta 90.00
_cell_angle_gamma 90.00
_symmetry_space_group_name_H-M 'P 1'
_symmetry_Int_Tables_number 1
_symmetry_space_group_name_Hall 'P 1'
loop_
_atom_site_label
_atom_site_fract_x
_atom_site_fract_y
_atom_site_fract_z
K1 0.1604 0.3396 0.0000
K2 0.3396 0.8396 0.0000
K3 0.6604 0.1604 0.0000
K4 0.8396 0.6604 0.0000
Ba1 0.0000 0.0000 0.5000
Ba2 0.5000 0.5000 0.5000
Cu1 0.1050 0.6050 0.5000
Cu2 0.3950 0.1050 0.5000
Cu3 0.6050 0.8950 0.5000
Cu4 0.8950 0.3950 0.5000
```

Calculated values
Space-group type: P4/mbm

In kJ/mol of atoms, relative to the most stable structure: a 0.0; b 1.7.

a:
First-principles (PBE) data for a relaxed KBa2Cu2 crystal, as listed in Alexandria.

```
data_KBa2Cu2
_chemical_formula_sum 'K2 Ba4 Cu4'
_cell_length_a 9.5563
_cell_length_b 9.5563
_cell_length_c 3.9032
_cell_angle_alpha 90.00
_cell_angle_beta 90.00
_cell_angle_gamma 90.00
_symmetry_space_group_name_H-M 'P 1'
_symmetry_Int_Tables_number 1
_symmetry_space_group_name_Hall 'P 1'
loop_
_atom_site_label
_atom_site_fract_x
_atom_site_fract_y
_atom_site_fract_z
K1 0.0000 0.0000 0.0000
K2 0.5000 0.5000 0.0000
Ba1 0.1409 0.3591 0.0000
Ba2 0.3591 0.8591 0.0000
Ba3 0.6409 0.1409 0.0000
Ba4 0.8591 0.6409 0.0000
Cu1 0.1486 0.6486 0.5000
Cu2 0.3514 0.1486 0.5000
Cu3 0.6486 0.8514 0.5000
Cu4 0.8514 0.3514 0.5000
```

Calculated values
Space-group type: P4/mbm

b:
First-principles (PBE) data for a relaxed KBa2Cu2 crystal, as listed in Alexandria.

```
data_KBa2Cu2
_chemical_formula_sum 'K2 Ba4 Cu4'
_cell_length_a 8.9562
_cell_length_b 8.9562
_cell_length_c 4.6162
_cell_angle_alpha 90.00
_cell_angle_beta 90.00
_cell_angle_gamma 90.00
_symmetry_space_group_name_H-M 'P 1'
_symmetry_Int_Tables_number 1
_symmetry_space_group_name_Hall 'P 1'
loop_
_atom_site_label
_atom_site_fract_x
_atom_site_fract_y
_atom_site_fract_z
K1 0.0000 0.0000 0.0000
K2 0.5000 0.5000 0.0000
Ba1 0.1659 0.3341 0.5000
Ba2 0.3341 0.8341 0.5000
Ba3 0.6659 0.1659 0.5000
Ba4 0.8341 0.6659 0.5000
Cu1 0.1007 0.6007 0.0000
Cu2 0.3993 0.1007 0.0000
Cu3 0.6007 0.8993 0.0000
Cu4 0.8993 0.3993 0.0000
```

Calculated values
Space-group type: P4/mbm

c:
First-principles (PBE) data for a relaxed KBa2Cu2 crystal, as listed in Alexandria.

```
data_KBa2Cu2
_chemical_formula_sum 'K2 Ba4 Cu4'
_cell_length_a 5.8765
_cell_length_b 5.8765
_cell_length_c 13.3910
_cell_angle_alpha 90.00
_cell_angle_beta 90.00
_cell_angle_gamma 90.00
_symmetry_space_group_name_H-M 'P 1'
_symmetry_Int_Tables_number 1
_symmetry_space_group_name_Hall 'P 1'
loop_
_atom_site_label
_atom_site_fract_x
_atom_site_fract_y
_atom_site_fract_z
K1 0.0000 0.0000 0.0000
K2 0.5000 0.5000 0.5000
Ba1 0.0000 0.0000 0.3360
Ba2 0.0000 0.0000 0.6640
Ba3 0.5000 0.5000 0.1640
Ba4 0.5000 0.5000 0.8360
Cu1 0.0000 0.5000 0.2500
Cu2 0.0000 0.5000 0.7500
Cu3 0.5000 0.0000 0.2500
Cu4 0.5000 0.0000 0.7500
```

Calculated values
Space-group type: I4/mmm

d:
First-principles (PBE) data for a relaxed KBa2Cu2 crystal, as listed in Alexandria.

```
data_KBa2Cu2
_chemical_formula_sum 'K2 Ba4 Cu4'
_cell_length_a 5.7171
_cell_length_b 5.7171
_cell_length_c 11.7770
_cell_angle_alpha 90.00
_cell_angle_beta 90.00
_cell_angle_gamma 90.00
_symmetry_space_group_name_H-M 'P 1'
_symmetry_Int_Tables_number 1
_symmetry_space_group_name_Hall 'P 1'
loop_
_atom_site_label
_atom_site_fract_x
_atom_site_fract_y
_atom_site_fract_z
K1 0.0000 0.0000 0.0000
K2 0.5000 0.5000 0.5000
Ba1 0.0000 0.5000 0.2500
Ba2 0.0000 0.5000 0.7500
Ba3 0.5000 0.0000 0.2500
Ba4 0.5000 0.0000 0.7500
Cu1 0.0000 0.0000 0.3969
Cu2 0.0000 0.0000 0.6031
Cu3 0.5000 0.5000 0.1031
Cu4 0.5000 0.5000 0.8969
```

Calculated values
Space-group type: I4/mmm

In kJ/mol of atoms, relative to the most stable structure: a 12.3; b 0.0; c 19.4; d 11.6.

a:
First-principles (PBE) data for a relaxed KBa2SrCu crystal, as listed in Alexandria.

```
data_KBa2SrCu
_chemical_formula_sum 'K1 Ba2 Sr1 Cu1'
_cell_length_a 6.4975
_cell_length_b 6.4975
_cell_length_c 6.2985
_cell_angle_alpha 90.00
_cell_angle_beta 90.00
_cell_angle_gamma 90.00
_symmetry_space_group_name_H-M 'P 1'
_symmetry_Int_Tables_number 1
_symmetry_space_group_name_Hall 'P 1'
loop_
_atom_site_label
_atom_site_fract_x
_atom_site_fract_y
_atom_site_fract_z
K1 0.0000 0.0000 0.0000
Ba1 0.0000 0.5000 0.5000
Ba2 0.5000 0.0000 0.5000
Sr1 0.5000 0.5000 0.0000
Cu1 0.5000 0.5000 0.5000
```

Calculated values
Space-group type: P4/mmm

b:
First-principles (PBE) data for a relaxed KBa2SrCu crystal, as listed in Alexandria.

```
data_KBa2SrCu
_chemical_formula_sum 'K1 Ba2 Sr1 Cu1'
_cell_length_a 6.4102
_cell_length_b 6.4102
_cell_length_c 6.5516
_cell_angle_alpha 90.00
_cell_angle_beta 90.00
_cell_angle_gamma 90.00
_symmetry_space_group_name_H-M 'P 1'
_symmetry_Int_Tables_number 1
_symmetry_space_group_name_Hall 'P 1'
loop_
_atom_site_label
_atom_site_fract_x
_atom_site_fract_y
_atom_site_fract_z
K1 0.0000 0.0000 0.0000
Ba1 0.0000 0.5000 0.5000
Ba2 0.5000 0.0000 0.5000
Sr1 0.5000 0.5000 0.0000
Cu1 0.0000 0.0000 0.5000
```

Calculated values
Space-group type: P4/mmm

In kJ/mol of atoms, relative to the most stable structure: a 0.0; b 9.4.